[1]
{"formula": "MgCdC", "functional": "PBE", "state": "relaxed", "cell": [[-5.770, -1.818, 0.995], [1.911, -2.840, 0.595], [2.726, 3.344, 4.563]], "species": ["Mg", "Mg", "Cd", "Cd", "C", "C"], "fractional_positions": [[0.553, 0.177, 0.243], [0.109, 0.059, 0.571], [0.013, 0.448, 0.128], [0.650, 0.789, 0.685], [0.307, 0.710, 0.818], [0.356, 0.527, 0.995]], "dos_at_fermi_per_ev_fu": 1.02, "dft_energy_ev_per_atom": -3.494}

---

[2]
{"formula": "MgCdC2", "functional": "PBE", "state": "relaxed", "cell": [[0.000, 2.933, 2.933], [2.933, 0.000, 2.933], [2.933, 2.933, 0.000]], "species": ["C", "C", "Cd", "Mg"], "fractional_positions": [[0.250, 0.250, 0.250], [0.750, 0.750, 0.750], [0.500, 0.500, 0.500], [0.000, 0.000, 0.000]], "dos_at_fermi_per_ev_fu": 1.94, "relative_energy_kj_per_mol_atoms": 0.7, "dft_energy_ev_per_atom": -3.517}

---

[3]
{"formula": "MgCdC", "functional": "PBE", "state": "relaxed", "cell": [[5.136, -0.117, 0.105], [-1.038, 3.022, -0.079], [1.752, 2.139, 7.663]], "species": ["Cd", "Cd", "Mg", "Mg", "C", "C"], "fractional_positions": [[0.723, 0.518, 0.981], [0.179, 0.651, 0.145], [0.989, 0.303, 0.642], [0.624, 0.770, 0.343], [0.602, 0.170, 0.557], [0.340, 0.030, 0.551]], "dos_at_fermi_per_ev_fu": 0.99, "dft_energy_ev_per_atom": -3.573}